No. 1
Compound: GdTh2Mn
Source: the Alexandria database
Functional: PBE
Structure: optimized geometry

Results
Its formation energy is 319.2 meV per atom. The value obtained for the magnetization is 10.836 μB per formula unit. The mass density comes out at 10.343 g/cm³. The value obtained for the density of states at the Fermi level is 5.66 states/eV per cell.

Cell lengths 5.3554, 5.3554, 5.3542 Å; angles 59.99, 59.99, 60.00 degrees
With the nearest neighbours (Å) after each atom.
Fractional coordinates of all 4 atoms:
Mn 0.0000 0.0000 0.0000  8 Th 3.28
Gd 0.5000 0.5000 0.5000  8 Th 3.28
Th 0.7500 0.7500 0.7500  4 Gd 3.28, 4 Mn 3.28
Th 0.2500 0.2500 0.2500  4 Gd 3.28, 4 Mn 3.28



No. 2
Compound: Gd2ThMn
Source: the Alexandria database
Functional: PBE
Structure: optimized geometry

Results
Its formation energy is 133.8 meV per atom. The value obtained for the magnetization is 11.013 μB per formula unit. The mass density comes out at 9.126 g/cm³. The value obtained for the density of states at the Fermi level is 5.37 states/eV per cell.

Cell lengths 3.4985, 3.4985, 8.9421 Å; angles 90.00, 90.00, 90.00 degrees
With the nearest neighbours (Å) after each atom.
Fractional coordinates of all 4 atoms:
Gd 0.0000 0.0000 0.7951  4 Mn 3.08
Gd 0.0000 0.0000 0.2049  4 Mn 3.08
Mn 0.5000 0.5000 0.0000  8 Gd 3.08
Th 0.5000 0.5000 0.5000  4 Th 3.50, 8 Gd 3.62



No. 3
Compound: GdTiMn4
Source: the Alexandria database
Functional: PBE
Structure: optimized geometry

Results
Its formation energy is 72.6 meV per atom. The value obtained for the magnetization is 9.336 μB per formula unit. The mass density comes out at 8.203 g/cm³. The value obtained for the density of states at the Fermi level is 7.61 states/eV per cell.

Cell lengths 4.9546, 4.9546, 4.9546 Å; angles 60.00, 60.00, 60.00 degrees
With the nearest neighbours (Å) after each atom.
Fractional coordinates of all 6 atoms:
Gd 0.0000 0.0000 0.0000  12 Mn 2.91, 4 Ti 3.03
Ti 0.2500 0.2500 0.2500  12 Mn 2.90, 4 Gd 3.03
Mn 0.6242 0.1275 0.6242  6 Mn 2.46-2.49
Mn 0.1275 0.6242 0.6242  6 Mn 2.46-2.49
Mn 0.6242 0.6242 0.1275  6 Mn 2.46-2.49
Mn 0.6242 0.6242 0.6242  6 Mn 2.46-2.49



No. 4
Compound: GdTi2Mn
Source: the Alexandria database
Functional: PBE
Structure: optimized geometry

Results
Its formation energy is 28.6 meV per atom. The value obtained for the magnetization is 6.959 μB per formula unit. The mass density comes out at 6.978 g/cm³. The value obtained for the density of states at the Fermi level is 4.93 states/eV per cell.

Cell lengths 3.0642, 3.0642, 7.8041 Å; angles 90.00, 90.00, 90.00 degrees
With the nearest neighbours (Å) after each atom.
Fractional coordinates of all 4 atoms:
Ti 0.0000 0.0000 0.8229  4 Mn 2.57, 1 Ti 2.76
Ti 0.0000 0.0000 0.1771  4 Mn 2.57, 1 Ti 2.76
Mn 0.5000 0.5000 0.0000  8 Ti 2.57
Gd 0.5000 0.5000 0.5000  4 Gd 3.06, 8 Ti 3.32



No. 5
Compound: Gd2MnTl
Source: the Alexandria database
Functional: PBE
Structure: optimized geometry

Results
Its formation energy is -43.4 meV per atom. The value obtained for the magnetization is 10.787 μB per formula unit. The mass density comes out at 9.209 g/cm³. The value obtained for the density of states at the Fermi level is 6.29 states/eV per cell.

Cell lengths 5.2696, 5.2696, 5.2696 Å; angles 60.00, 60.00, 60.00 degrees
With the nearest neighbours (Å) after each atom.
Fractional coordinates of all 4 atoms:
Mn 0.0000 0.0000 0.0000  8 Gd 3.23
Tl 0.5000 0.5000 0.5000  8 Gd 3.23
Gd 0.7500 0.7500 0.7500  4 Mn 3.23, 4 Tl 3.23
Gd 0.2500 0.2500 0.2500  4 Tl 3.23, 4 Mn 3.23



No. 6
Compound: Gd2MnTl
Source: the Alexandria database
Functional: PBE
Structure: optimized geometry

Results
Its formation energy is -50.5 meV per atom. The value obtained for the magnetization is 11.072 μB per formula unit. The mass density comes out at 9.406 g/cm³. The value obtained for the density of states at the Fermi level is 5.00 states/eV per cell.

Cell lengths 4.3413, 4.8306, 4.8306 Å; angles 90.00, 90.00, 90.00 degrees
With the nearest neighbours (Å) after each atom.
Fractional coordinates of all 4 atoms:
Tl 0.5000 0.5000 0.5000  8 Gd 3.25, 4 Mn 3.42
Gd 0.0000 0.5000 0.0000  4 Tl 3.25, 4 Mn 3.25, 4 Gd 3.42
Gd 0.0000 0.0000 0.5000  4 Tl 3.25, 4 Mn 3.25, 4 Gd 3.42
Mn 0.5000 0.0000 0.0000  8 Gd 3.25, 4 Tl 3.42



No. 7
Compound: Gd2MnTl
Source: the Alexandria database
Functional: PBE
Structure: optimized geometry

Results
Its formation energy is -101.3 meV per atom. The value obtained for the magnetization is 11.148 μB per formula unit. The mass density comes out at 9.303 g/cm³. The value obtained for the density of states at the Fermi level is 4.37 states/eV per cell.

Cell lengths 3.6701, 3.6701, 7.6037 Å; angles 90.00, 90.00, 90.00 degrees
With the nearest neighbours (Å) after each atom.
Fractional coordinates of all 4 atoms:
Gd 0.0000 0.0000 0.7704  4 Mn 3.13, 4 Tl 3.31, 1 Gd 3.49
Gd 0.0000 0.0000 0.2296  4 Mn 3.13, 4 Tl 3.31, 1 Gd 3.49
Tl 0.5000 0.5000 0.5000  8 Gd 3.31, 4 Tl 3.67
Mn 0.5000 0.5000 0.0000  8 Gd 3.13



No. 8
Compound: GdTmMn2
Source: the Alexandria database
Functional: PBE
Structure: optimized geometry

Results
Its formation energy is 212.3 meV per atom. The value obtained for the magnetization is 13.516 μB per formula unit. The mass density comes out at 8.355 g/cm³. The value obtained for the density of states at the Fermi level is 3.47 states/eV per cell.

Cell lengths 4.9672, 4.9672, 4.9672 Å; angles 60.00, 60.00, 60.00 degrees
With the nearest neighbours (Å) after each atom.
Fractional coordinates of all 4 atoms:
Gd 0.0000 0.0000 0.0000  8 Mn 3.04
Mn 0.7500 0.7500 0.7500  4 Gd 3.04, 4 Tm 3.04
Mn 0.2500 0.2500 0.2500  4 Tm 3.04, 4 Gd 3.04
Tm 0.5000 0.5000 0.5000  8 Mn 3.04